(1)
Entry from Alexandria: a relaxed LaGaNi2Ir crystal (GGA-PBE).

```
LaGaNi2Ir
1.0
-3.5315 -2.4187 -0.2723
3.1117 -4.6466 0.9174
-0.6148 0.4222 4.2237
Ni Ir Ga La
2 1 1 1
Cartesian
-0.3074 0.2111 2.1118 Ni
-1.7657 -1.2094 -0.1361 Ni
-0.5173 -3.3215 2.4344 Ir
0.0000 0.0000 0.0000 Ga
1.5559 -2.3233 0.4587 La
```

Properties
Its formation energy is 0.585 eV per atom. The space-group type is P4/mmm, No. 123.

---

(2)
Entry from Alexandria: a relaxed CaAc2Sm crystal (GGA-PBE).

```
CaAc2Sm
1.0
3.8829 -0.0136 0.0000
-1.9304 3.3690 0.0000
0.0000 0.0000 12.6029
Ca Ac Sm
1 2 1
Cartesian
2.7181 0.6642 0.0000 Ca
0.7821 1.7907 3.2820 Ac
0.7821 1.7907 9.3210 Ac
-1.1561 2.9185 6.3015 Sm
```

Properties
The offset from the most stable computed form comes out at 0 meV per atom. Its formation energy is 0.021 eV per atom. The space-group type is P-6m2, No. 187.

---

(3)
Entry from Alexandria: a relaxed CaBe4Tc crystal (GGA-PBE).

```
CaBe4Tc
1.0
0.1090 -2.9630 3.6454
2.3511 1.1587 3.9000
-2.3460 1.0330 3.9382
Ca Be Tc
1 4 1
Cartesian
0.0855 -0.5785 8.6127 Ca
0.0990 -1.8298 6.1456 Be
-1.1809 0.2534 6.2982 Be
1.2678 0.3189 6.2783 Be
0.0421 -0.2851 4.2452 Be
0.0000 0.0000 0.0000 Tc
```

Properties
Its formation energy is 0.219 eV per atom. The space-group type is F-43m, No. 216.

---

(4)
Entry from Alexandria: a relaxed SrLiZnPt crystal (GGA-PBE).

```
SrLiZnPt
1.0
4.4562 0.0000 0.0000
-2.2281 3.8577 -0.0182
0.0000 -2.5904 5.2831
Sr Li Zn Pt
1 1 1 1
Cartesian
2.2281 -0.3760 2.7204 Sr
2.2281 2.2064 0.4336 Li
0.0000 -1.6689 5.0438 Zn
0.0000 0.9024 4.8023 Pt
```

Properties
Its formation energy is -0.568 eV per atom. The space-group type is Cm, No. 8.

---

(5)
Entry from Alexandria: a relaxed Cu2Br6F crystal (GGA-PBE).

```
Cu2Br6F
1.0
9.9663 -0.4393 -0.9512
-3.2223 9.4412 -0.9512
-1.4902 -1.9890 6.9038
Cu Br F
4 12 2
Cartesian
3.5855 1.4753 1.2121 Cu
5.5907 4.1518 0.3374 Cu
1.6682 5.5376 3.7893 Cu
-0.3369 2.8611 4.6640 Cu
0.4725 3.8354 2.5927 Br
2.4508 6.4761 -1.0432 Br
4.7813 3.1775 2.4087 Br
2.8029 0.5368 6.0446 Br
6.6017 5.5217 -1.3658 Br
2.5549 0.1200 2.9153 Br
-1.3479 1.4912 6.3672 Br
2.6989 6.8928 2.0861 Br
-0.8547 9.0175 -0.5695 Br
-2.8954 6.2935 2.1191 Br
6.1084 -2.0046 5.5709 Br
8.1492 0.7193 2.8823 Br
7.5909 0.5639 0.7747 F
-2.3371 6.4490 4.2267 F
```

Properties
The calculation puts the formation energy without anion corrections at -244 meV per atom. The space-group type is C2/c, No. 15.

---

(6)
Entry from Alexandria: a relaxed SmAlGaIr2 crystal (GGA-PBE).

```
SmAlGaIr2
1.0
-2.8676 1.1959 3.1603
-3.6532 -2.8250 -5.3533
0.5592 -5.9550 2.7609
Sm Al Ga Ir
2 2 2 4
Cartesian
-3.4357 -6.1539 -0.7888 Sm
-2.5260 -1.4301 1.3566 Sm
-2.9285 -4.7062 2.2311 Al
-3.0332 -2.8778 -1.6633 Al
0.0000 0.0000 0.0000 Ga
0.2796 -2.9775 1.3804 Ga
-1.2789 -6.5280 1.3099 Ir
-4.6828 -1.0560 -0.7420 Ir
-1.5167 -3.9955 0.1357 Ir
-4.4450 -3.5885 0.4322 Ir
```

Properties
Its formation energy is -0.594 eV per atom. The space-group type is Cmcm, No. 63.

---

(7)
Entry from Alexandria: a relaxed Sc2SeO crystal (GGA-PBE).

```
Sc2SeO
1.0
-0.9867 -3.3907 0.8796
4.1541 -1.1959 0.0509
0.5102 2.1578 8.8912
Sc Se O
4 2 2
Cartesian
1.7791 -2.6437 2.3628 Sc
1.8942 -1.2858 7.7221 Sc
0.1183 0.1945 3.9112 Sc
0.1078 -0.7173 0.3822 Sc
0.2637 0.8746 6.6912 Se
1.7199 -1.9574 4.9408 Se
3.3001 -1.2101 2.0645 O
0.6269 -2.7365 0.7078 O
```

Properties
The offset from the most stable computed form comes out at 0 meV per atom. The calculation puts the formation energy without anion corrections at -2083 meV per atom. The space-group type is Pmn2_1, No. 31.

---

(8)
Entry from Alexandria: a relaxed TlBi2Pd3 crystal (GGA-PBE).

```
TlBi2Pd3
1.0
5.5896 0.0000 0.0000
-2.7948 6.9625 0.0000
0.0000 0.0000 13.6039
Tl Bi Pd
4 8 12
Cartesian
2.7948 3.3319 11.2807 Tl
2.7948 3.6306 4.4787 Tl
0.0000 3.3319 9.1252 Tl
0.0000 3.6306 2.3232 Tl
2.7948 0.9952 8.9851 Bi
2.7948 2.1944 0.9619 Bi
0.0000 0.9952 11.4208 Bi
2.7948 4.7681 7.7639 Bi
2.7948 5.9673 2.1831 Bi
0.0000 5.9673 4.6188 Bi
0.0000 2.1944 5.8400 Bi
0.0000 4.7681 12.6420 Bi
1.3974 5.7239 10.2029 Pd
4.1922 1.2386 3.4010 Pd
2.7948 0.5867 12.2098 Pd
2.7948 5.6460 12.9759 Pd
0.0000 1.3165 0.6280 Pd
2.7948 6.3758 5.4078 Pd
2.7948 1.3165 6.1740 Pd
0.0000 5.6460 7.4300 Pd
0.0000 0.5867 8.1961 Pd
0.0000 6.3758 1.3941 Pd
-1.3974 5.7239 10.2029 Pd
1.3974 1.2386 3.4010 Pd
```

Properties
The offset from the most stable computed form comes out at 0 meV per atom. Its formation energy is -0.208 eV per atom. The space-group type is Cmce, No. 64.

---

(9)
Entry from Alexandria: a relaxed Zr2Ga2SiRh5 crystal (GGA-PBE).

```
Zr2Ga2SiRh5
1.0
-1.0002 -0.1717 -2.8145
-8.9544 -3.5939 3.4013
-3.5760 9.5606 0.6877
Zr Ga Si Rh
4 4 2 10
Cartesian
-6.6497 -0.7625 2.4096 Zr
-5.8807 6.7292 1.6794 Zr
-2.7205 2.4996 0.8143 Zr
-9.8099 3.4671 3.2746 Zr
-3.4850 5.5884 0.8976 Ga
-9.0455 0.3783 3.1914 Ga
-8.7816 5.9822 2.7558 Ga
-3.7488 -0.0155 1.3331 Ga
0.0000 0.0000 0.0000 Si
-6.2652 2.9833 2.0445 Si
-2.3683 -0.4231 -0.7228 Rh
-11.1624 6.2182 1.9972 Rh
-3.7196 7.4885 -0.7252 Rh
-8.3652 1.8429 1.2701 Rh
-9.8111 -1.6935 1.9996 Rh
-5.1654 3.9522 0.0043 Rh
-7.7938 4.6141 0.8980 Rh
-5.7369 1.1809 0.3764 Rh
-4.9773 -1.8828 0.2934 Rh
-2.2881 4.6945 -1.0634 Rh
```

Properties
The calculation puts the formation energy without anion corrections at -718 meV per atom. The space-group type is P4/mbm, No. 127.

---

(10)
Entry from Alexandria: a relaxed NaZr3Mo crystal (GGA-PBE).

```
NaZr3Mo
1.0
-3.7666 2.3437 -2.6367
-0.3952 -4.1132 -3.0916
-3.5056 -2.0545 3.1815
Na Mo Zr
1 1 3
Cartesian
-3.8337 -1.9120 -1.2734 Na
0.0000 0.0000 0.0000 Mo
-0.1976 -2.0566 -1.5458 Zr
-1.7528 -1.0273 1.5908 Zr
-1.8833 1.1719 -1.3184 Zr
```

Properties
The offset from the most stable computed form comes out at 0 meV per atom. Its formation energy is 0.728 eV per atom. The space-group type is Pm-3m, No. 221.

---

(11)
Entry from Alexandria: a relaxed Li2ZrI crystal (GGA-PBE).

```
Li2ZrI
1.0
7.9959 0.0000 0.0000
0.0000 7.9959 0.0000
3.9980 3.9980 2.8455
I Zr Li
2 2 4
Cartesian
0.0000 0.0000 0.0000 I
7.9959 3.9980 1.4227 I
3.9980 3.9980 0.0000 Zr
3.9980 7.9959 1.4227 Zr
6.3058 1.9990 0.7114 Li
1.6901 5.9969 0.7114 Li
5.9969 5.6881 2.1341 Li
9.9949 10.3037 2.1341 Li
```

Properties
The offset from the most stable computed form comes out at 0 meV per atom. The calculation puts the formation energy without anion corrections at 163 meV per atom. The space-group type is I-42d, No. 122.

---

(12)
Entry from Alexandria: a relaxed NiTe2SeI crystal (GGA-PBE).

```
NiTe2SeI
1.0
-3.2616 3.9264 0.1149
-3.5680 -3.0238 2.0477
1.6253 1.2147 4.6257
I Ni Te Se
1 1 2 1
Cartesian
0.8127 0.6074 2.3129 I
0.0000 0.0000 0.0000 Ni
-1.7840 -1.5119 1.0239 Te
-1.6308 1.9632 0.0575 Te
-2.6021 1.0586 3.3942 Se
```

Properties
The offset from the most stable computed form comes out at 0 meV per atom. The calculation puts the formation energy without anion corrections at 420 meV per atom. The space-group type is P4/mmm, No. 123.